No. 1
The following is a DFT calculation (PBE) of a relaxed TlReSiRh2 crystal.

Values from the calculation:
VASP energy, eV/atom: -6.09
Formation energy (no corrections), eV per formula unit: 4.51
Density of states at the Fermi level, states/eV/cell: 4.055

abc: 4.802 4.682 4.802
angles: 90.00 90.00 90.00
Fractional coordinates of all 5 atoms:
Re 0.000 0.000 0.000
Tl 0.500 0.500 0.500
Rh 0.000 0.000 0.500
Rh 0.500 0.000 0.000
Si 0.000 0.500 0.000

No. 2
The following is a DFT calculation (PBE) of a relaxed UReSi2Rh crystal.

Values from the calculation:
VASP energy, eV/atom: -8.94
Formation energy (no corrections), eV per formula unit: -2.78
Density of states at the Fermi level, states/eV/cell: 5.250

abc: 4.170 4.170 5.661
angles: 111.61 111.61 90.00
Last column: magnetic moment on the atom in μB.
Fractional coordinates of all 5 atoms:
U 0.000 0.000 0.000  1.80
Re 0.750 0.250 0.500  -0.17
Si 0.624 0.624 0.247  -0.01
Si 0.376 0.376 0.753  -0.01
Rh 0.250 0.750 0.500  -0.07